Compound: Sr3Zn2Sn2Pd4
Source: Alexandria
Functional: GGA-PBE
Structure: relaxed

VASP energy, eV per cell: -42.44

a = 4.5391 Å, b = 4.5391 Å, c = 15.4636 Å
α = 90.00°, β = 90.00°, γ = 120.00°
Closest atoms and distances in Å follow each position.
Fractional positions:
Sr: 0.0000 0.0000 0.0000  6 Pd 3.32, 6 Zn 3.36
Sr: 0.0000 0.0000 0.2700  6 Pd 3.24-3.38, 3 Zn 3.34, 3 Sn 3.61
Sr: 0.0000 0.0000 0.7300  6 Pd 3.24-3.38, 3 Zn 3.34, 3 Sn 3.61
Zn: 0.3333 0.6667 0.1362  3 Pd 2.62
Zn: 0.6667 0.3333 0.8638  3 Pd 2.62
Sn: 0.3333 0.6667 0.5690  4 Pd 2.68-2.71
Sn: 0.6667 0.3333 0.4310  4 Pd 2.68-2.71
Pd: 0.3333 0.6667 0.3936  4 Sn 2.68-2.71
Pd: 0.3333 0.6667 0.8677  3 Zn 2.62
Pd: 0.6667 0.3333 0.1323  3 Zn 2.62
Pd: 0.6667 0.3333 0.6064  4 Sn 2.68-2.71


Compound: Ca2Zn2Hg
Source: Alexandria
Functional: GGA-PBE
Structure: relaxed

VASP energy, eV per cell: -7.60
Distance to the lowest polymorph of the same formula, eV/atom: 0.182

a = 5.6576 Å, b = 5.6576 Å, c = 5.6576 Å
α = 117.26°, β = 117.26°, γ = 94.81°
Closest atoms and distances in Å follow each position.
Fractional positions:
Ca: 0.2500 0.7500 0.5000  4 Zn 3.04
Ca: 0.7500 0.2500 0.5000  4 Zn 3.04
Zn: 0.1516 0.1516 0.0000  1 Zn 2.32
Zn: 0.8484 0.8484 0.0000  1 Zn 2.32
Hg: 0.5000 0.5000 0.0000  2 Zn 2.67


Compound: La6PmSm4
Source: Alexandria
Functional: GGA-PBE
Structure: relaxed

VASP energy, eV per cell: -51.82

a = 11.2472 Å, b = 11.2472 Å, c = 3.6538 Å
α = 90.00°, β = 90.00°, γ = 120.00°
Closest atoms and distances in Å follow each position.
Fractional positions:
La: 0.1837 0.3674 0.0000  4 Sm 3.36-3.44, 2 La 3.65
La: 0.1837 0.8163 0.0000  4 Sm 3.36-3.44, 2 La 3.65
La: 0.5319 0.0638 0.5000  5 Sm 3.58-3.87, 6 La 3.65-3.94
La: 0.5319 0.4681 0.5000  5 Sm 3.58-3.87, 6 La 3.65-3.94
La: 0.6326 0.8163 0.0000  4 Sm 3.36-3.44, 2 La 3.65
La: 0.9362 0.4681 0.5000  5 Sm 3.58-3.87, 6 La 3.65-3.94
Pm: 0.0000 0.0000 0.5000  6 Sm 3.60, 2 Pm 3.65, 6 La 4.02
Sm: 0.3182 0.1591 0.0000  6 La 3.36-3.58, 2 Pm 3.60, 2 Sm 3.65
Sm: 0.3333 0.6667 0.5000  6 La 3.44, 2 Sm 3.65
Sm: 0.8409 0.1591 0.0000  6 La 3.36-3.58, 2 Pm 3.60, 2 Sm 3.65
Sm: 0.8409 0.6818 0.0000  6 La 3.36-3.58, 2 Pm 3.60, 2 Sm 3.65